[1]
{
  "formula": "Pm3Pr8Tm2",
  "functional": "PBE",
  "state": "optimized geometry",
  "rho_g_cm3": 6.74,
  "sg": "C2/m, No. 12",
  "polymorph_energy_mev_per_atom": 52,
  "delta_e_f_ev_per_atom": 0.20,
  "crystal_system": "monoclinic",
  "lattice": [[10.2652, -3.8943, 0.0000], [10.2652, 3.8943, 0.0000], [-0.0042, 0.0000, 5.8597]],
  "species": ["Pm", "Pm", "Pm", "Pr", "Pr", "Pr", "Pr", "Pr", "Pr", "Pr", "Pr", "Tm", "Tm"],
  "fractional_positions": [[0.0000, 0.0000, 0.0000], [0.2867, 0.7133, 0.5000], [0.7133, 0.2867, 0.5000], [0.1341, 0.1341, 0.4991], [0.1848, 0.5995, 0.9999], [0.3247, 0.3247, 0.4988], [0.4005, 0.8152, 0.0001], [0.5995, 0.1848, 0.9999], [0.6753, 0.6753, 0.5012], [0.8152, 0.4005, 0.0001], [0.8659, 0.8659, 0.5009], [0.2407, 0.2407, 0.9983], [0.7593, 0.7593, 0.0017]]
}

[2]
{
  "formula": "Pm7PrTm2",
  "functional": "PBE",
  "state": "optimized geometry",
  "rho_g_cm3": 6.01,
  "sg": "Cmmm, No. 65",
  "polymorph_energy_mev_per_atom": 262,
  "delta_e_f_ev_per_atom": 0.65,
  "crystal_system": "orthorhombic",
  "lattice": [[4.4692, -8.0118, 0.0000], [4.4692, 8.0118, 0.0000], [0.0000, 0.0000, 5.7611]],
  "species": ["Pm", "Pm", "Pm", "Pm", "Pm", "Pm", "Pm", "Pr", "Tm", "Tm"],
  "fractional_positions": [[0.0000, 0.0000, 0.0000], [0.2035, 0.4379, 0.0000], [0.2704, 0.7296, 0.5000], [0.4379, 0.2035, 0.0000], [0.5621, 0.7965, 0.0000], [0.7296, 0.2704, 0.5000], [0.7965, 0.5621, 0.0000], [0.5000, 0.5000, 0.5000], [0.2040, 0.7960, 0.0000], [0.7960, 0.2040, 0.0000]]
}

[3]
{
  "formula": "Pm4PrTm6",
  "functional": "PBE",
  "state": "optimized geometry",
  "rho_g_cm3": 7.72,
  "sg": "I-42m, No. 121",
  "polymorph_energy_mev_per_atom": 161,
  "delta_e_f_ev_per_atom": 0.31,
  "crystal_system": "tetragonal",
  "lattice": [[-3.3218, 3.3218, 8.4518], [3.3218, -3.3218, 8.4518], [3.3218, 3.3218, -8.4518]],
  "species": ["Pm", "Pm", "Pm", "Pm", "Pr", "Tm", "Tm", "Tm", "Tm", "Tm", "Tm"],
  "fractional_positions": [[0.0145, 0.6349, 0.0000], [0.3651, 0.3651, 0.3796], [0.6349, 0.0145, 0.0000], [0.9855, 0.9855, 0.6204], [0.0000, 0.0000, 0.0000], [0.0000, 0.5000, 0.5000], [0.1966, 0.1966, 0.6439], [0.4473, 0.8034, 0.0000], [0.5000, 0.0000, 0.5000], [0.5527, 0.5527, 0.3561], [0.8034, 0.4473, 0.0000]]
}

[4]
{
  "formula": "Pm9Pr2Tm",
  "functional": "PBE",
  "state": "optimized geometry",
  "rho_g_cm3": 7.13,
  "sg": "P6/mmm, No. 191",
  "polymorph_energy_mev_per_atom": 36,
  "delta_e_f_ev_per_atom": 0.05,
  "crystal_system": "hexagonal",
  "lattice": [[11.5209, 0.0000, 0.0000], [-5.7605, 9.9774, 0.0000], [0.0000, 0.0000, 3.5555]],
  "species": ["Pm", "Pm", "Pm", "Pm", "Pm", "Pm", "Pm", "Pm", "Pm", "Pr", "Pr", "Tm"],
  "fractional_positions": [[0.0000, 0.5000, 0.0000], [0.1708, 0.3416, 0.5000], [0.1708, 0.8292, 0.5000], [0.3416, 0.1708, 0.5000], [0.5000, 0.0000, 0.0000], [0.5000, 0.5000, 0.0000], [0.6584, 0.8292, 0.5000], [0.8292, 0.1708, 0.5000], [0.8292, 0.6584, 0.5000], [0.3333, 0.6667, 0.0000], [0.6667, 0.3333, 0.0000], [0.0000, 0.0000, 0.0000]]
}

[5]
{
  "formula": "Pm8Pr6Tm",
  "functional": "PBE",
  "state": "optimized geometry",
  "rho_g_cm3": 6.82,
  "sg": "R-3, No. 148",
  "delta_e_f_ev_per_atom": 0.11,
  "crystal_system": "trigonal",
  "lattice": [[4.6544, 2.6872, 7.0532], [-4.6544, 2.6872, 7.0532], [0.0000, -5.3744, 7.0532]],
  "species": ["Pm", "Pm", "Pm", "Pm", "Pm", "Pm", "Pm", "Pm", "Pr", "Pr", "Pr", "Pr", "Pr", "Pr", "Tm"],
  "fractional_positions": [[0.0775, 0.0775, 0.0775], [0.2167, 0.6132, 0.2520], [0.2520, 0.2167, 0.6132], [0.3868, 0.7480, 0.7833], [0.6132, 0.2520, 0.2167], [0.7480, 0.7833, 0.3868], [0.7833, 0.3868, 0.7480], [0.9225, 0.9225, 0.9225], [0.0392, 0.5980, 0.7367], [0.2633, 0.9608, 0.4020], [0.4020, 0.2633, 0.9608], [0.5980, 0.7367, 0.0392], [0.7367, 0.0392, 0.5980], [0.9608, 0.4020, 0.2633], [0.5000, 0.5000, 0.5000]]
}

[6]
{
  "formula": "Pm6Pr2Tm5",
  "functional": "PBE",
  "state": "optimized geometry",
  "rho_g_cm3": 7.59,
  "sg": "Pbam, No. 55",
  "delta_e_f_ev_per_atom": 0.10,
  "crystal_system": "orthorhombic",
  "lattice": [[11.8082, 0.0000, 0.0000], [0.0000, 20.3810, 0.0000], [0.0000, 0.0000, 3.6318]],
  "species": ["Pm", "Pm", "Pm", "Pm", "Pm", "Pm", "Pm", "Pm", "Pm", "Pm", "Pm", "Pm", "Pr", "Pr", "Pr", "Pr", "Tm", "Tm", "Tm", "Tm", "Tm", "Tm", "Tm", "Tm", "Tm", "Tm"],
  "fractional_positions": [[0.0579, 0.0772, 0.0000], [0.0798, 0.3646, 0.0000], [0.1773, 0.6247, 0.5000], [0.3227, 0.1247, 0.5000], [0.4202, 0.8646, 0.0000], [0.4421, 0.5772, 0.0000], [0.5579, 0.4228, 0.0000], [0.5798, 0.1354, 0.0000], [0.6773, 0.8753, 0.5000], [0.8227, 0.3753, 0.5000], [0.9202, 0.6354, 0.0000], [0.9421, 0.9228, 0.0000], [0.1648, 0.7836, 0.0000], [0.3352, 0.2836, 0.0000], [0.6648, 0.7164, 0.0000], [0.8352, 0.2164, 0.0000], [0.0000, 0.5000, 0.5000], [0.0961, 0.2217, 0.5000], [0.1999, 0.9453, 0.5000], [0.3001, 0.4453, 0.5000], [0.4039, 0.7217, 0.5000], [0.5000, 0.0000, 0.5000], [0.5961, 0.2783, 0.5000], [0.6999, 0.5547, 0.5000], [0.8001, 0.0547, 0.5000], [0.9039, 0.7783, 0.5000]]
}

[7]
{
  "formula": "PmPr12Tm5",
  "functional": "PBE",
  "state": "optimized geometry",
  "rho_g_cm3": 7.18,
  "sg": "Cmmm, No. 65",
  "delta_e_f_ev_per_atom": 0.03,
  "crystal_system": "orthorhombic",
  "lattice": [[7.7068, -7.7658, 0.0000], [7.7068, 7.7658, 0.0000], [0.0000, 0.0000, 5.1775]],
  "species": ["Pm", "Pr", "Pr", "Pr", "Pr", "Pr", "Pr", "Pr", "Pr", "Pr", "Pr", "Pr", "Pr", "Tm", "Tm", "Tm", "Tm", "Tm"],
  "fractional_positions": [[0.0000, 0.0000, 0.0000], [0.0023, 0.6680, 0.0000], [0.1660, 0.1660, 0.5000], [0.1698, 0.5029, 0.5000], [0.3320, 0.9977, 0.0000], [0.3371, 0.3371, 0.0000], [0.4971, 0.8302, 0.5000], [0.5029, 0.1698, 0.5000], [0.6629, 0.6629, 0.0000], [0.6680, 0.0023, 0.0000], [0.8302, 0.4971, 0.5000], [0.8340, 0.8340, 0.5000], [0.9977, 0.3320, 0.0000], [0.1675, 0.8325, 0.5000], [0.3329, 0.6671, 0.0000], [0.5000, 0.5000, 0.5000], [0.6671, 0.3329, 0.0000], [0.8325, 0.1675, 0.5000]]
}

[8]
{
  "formula": "Pm6Pr12Tm",
  "functional": "PBE",
  "state": "optimized geometry",
  "rho_g_cm3": 6.65,
  "sg": "R-3, No. 148",
  "polymorph_energy_mev_per_atom": 5,
  "delta_e_f_ev_per_atom": 0.12,
  "crystal_system": "trigonal",
  "lattice": [[6.1774, 3.5665, 5.1562], [-6.1774, 3.5665, 5.1562], [0.0000, -7.1330, 5.1562]],
  "species": ["Pm", "Pm", "Pm", "Pm", "Pm", "Pm", "Pr", "Pr", "Pr", "Pr", "Pr", "Pr", "Pr", "Pr", "Pr", "Pr", "Pr", "Pr", "Tm"],
  "fractional_positions": [[0.2020, 0.7611, 0.5965], [0.2389, 0.4035, 0.7980], [0.4035, 0.7980, 0.2389], [0.5965, 0.2020, 0.7611], [0.7611, 0.5965, 0.2020], [0.7980, 0.2389, 0.4035], [0.0357, 0.9341, 0.2813], [0.0659, 0.7187, 0.9643], [0.1392, 0.4825, 0.3091], [0.2813, 0.0357, 0.9341], [0.3091, 0.1392, 0.4825], [0.4825, 0.3091, 0.1392], [0.5175, 0.6909, 0.8608], [0.6909, 0.8608, 0.5175], [0.7187, 0.9643, 0.0659], [0.8608, 0.5175, 0.6909], [0.9341, 0.2813, 0.0357], [0.9643, 0.0659, 0.7187], [0.5000, 0.5000, 0.5000]]
}

[9]
{
  "formula": "Pm5Pr6Tm",
  "functional": "PBE",
  "state": "optimized geometry",
  "rho_g_cm3": 6.90,
  "sg": "Immm, No. 71",
  "delta_e_f_ev_per_atom": 0.01,
  "crystal_system": "orthorhombic",
  "lattice": [[-2.6005, 5.1707, 7.7880], [2.6005, -5.1707, 7.7880], [2.6005, 5.1707, -7.7880]],
  "species": ["Pm", "Pm", "Pm", "Pm", "Pm", "Pr", "Pr", "Pr", "Pr", "Pr", "Pr", "Tm"],
  "fractional_positions": [[0.0000, 0.0000, 0.0000], [0.1667, 0.6667, 0.5000], [0.3341, 0.3341, 0.0000], [0.6659, 0.6659, 0.0000], [0.8333, 0.3333, 0.5000], [0.0855, 0.8340, 0.2515], [0.2520, 0.5000, 0.7520], [0.4175, 0.1660, 0.2515], [0.5825, 0.8340, 0.7485], [0.7480, 0.5000, 0.2480], [0.9145, 0.1660, 0.7485], [0.5000, 0.0000, 0.5000]]
}